No. 1
# BaCrNiPb2

BaCrNiPb2 after structural relaxation (PBE-GGA, Alexandria).

```
BaCrNiPb2
1.0
5.1774 0.0000 0.0000
0.0000 5.5898 0.0000
0.0000 0.0000 5.1774
Pb Cr Ba Ni
2 1 1 1
direct
0.5000 0.0000 0.0000 Pb
0.0000 0.0000 0.5000 Pb
0.0000 0.0000 0.0000 Cr
0.0000 0.5000 0.0000 Ba
0.5000 0.5000 0.5000 Ni
```

Output
- Total magnetic moment: 0.57 μB per formula unit
- Crystal system: tetragonal
- Formation energy: 78.82 kJ per mole of atoms



No. 2
# Ru2PbCl

Ru2PbCl after structural relaxation (PBE-GGA, Alexandria).

```
Ru2PbCl
1.0
-1.9259 -1.5078 -1.7171
1.9222 0.2236 -2.3523
4.8491 -7.5963 1.2317
Ru Pb Cl
2 1 1
direct
0.0000 0.0376 0.0506 Ru
0.5000 0.4526 0.2177 Ru
0.5000 0.6641 0.8037 Pb
0.0000 0.3456 0.4280 Cl
```

Output
- Total magnetic moment: 0.00 μB per formula unit
- Relative energy among the computed polymorphs: 0 meV per atom
- Uncorrected formation energy: 0.7 eV per formula unit
- Crystal system: monoclinic



No. 3
# BaZnTc2S

BaZnTc2S after structural relaxation (PBE-GGA, Alexandria).

```
BaZnTc2S
1.0
-1.5078 -3.8727 -2.2734
3.4937 -3.7085 4.0003
-3.6931 -0.2950 2.9519
Ba Zn Tc S
1 1 2 1
direct
0.0000 0.5000 0.0000 Ba
0.0000 0.0000 0.0000 Zn
0.0000 0.0000 0.5000 Tc
0.5000 0.0000 0.0000 Tc
0.5000 0.5000 0.5000 S
```

Output
- Total magnetic moment: 6.34 μB per formula unit
- Uncorrected formation energy: 5.2 eV per formula unit
- Crystal system: tetragonal



No. 4
# RbLi2Br2

RbLi2Br2 after structural relaxation (PBE-GGA, Alexandria).

```
RbLi2Br2
1.0
4.5610 0.0000 0.0000
0.0000 4.5610 0.0000
2.2805 2.2805 10.5876
Br Rb Li
2 1 2
direct
0.3062 0.3062 0.3876 Br
0.6938 0.6938 0.6124 Br
0.0000 0.0000 0.0000 Rb
0.2500 0.7500 0.5000 Li
0.7500 0.2500 0.5000 Li
```

Output
- Total magnetic moment: 0.00 μB per formula unit
- Relative energy among the computed polymorphs: 0 meV per atom
- Uncorrected formation energy: -5.8 eV per formula unit
- Crystal system: tetragonal



No. 5
# NbRe2Ir

NbRe2Ir after structural relaxation (PBE-GGA, Alexandria).

```
NbRe2Ir
1.0
0.0000 3.1583 3.1583
3.1583 0.0000 3.1583
3.1583 3.1583 0.0000
Nb Re Ir
1 2 1
direct
0.0000 0.0000 0.0000 Nb
0.7500 0.7500 0.7500 Re
0.2500 0.2500 0.2500 Re
0.5000 0.5000 0.5000 Ir
```

Output
- Total magnetic moment: 1.18 μB per formula unit
- Relative energy among the computed polymorphs: 380 meV per atom
- Crystal system: cubic
- Formation energy: 21.02 kJ per mole of atoms



No. 6
# ScSi2Ni3

ScSi2Ni3 after structural relaxation (PBE-GGA, Alexandria).

```
ScSi2Ni3
1.0
3.6741 0.0000 0.0000
-1.8371 7.1763 -2.3392
0.0000 0.0019 9.0814
Ni Sc Si
9 3 6
direct
0.3805 0.7610 0.8019 Ni
0.9569 0.9137 0.6630 Ni
0.5000 0.0000 0.5000 Ni
0.7842 0.5685 0.6075 Ni
0.2158 0.4315 0.3925 Ni
0.3199 0.6398 0.0312 Ni
0.0431 0.0863 0.3370 Ni
0.6801 0.3602 0.9688 Ni
0.6195 0.2390 0.1981 Ni
0.0000 0.0000 0.0000 Sc
0.8443 0.6886 0.3026 Sc
0.1557 0.3114 0.6974 Sc
0.8014 0.6029 0.8673 Si
0.3617 0.7235 0.5449 Si
0.4623 0.9246 0.2190 Si
0.6383 0.2765 0.4551 Si
0.5377 0.0754 0.7810 Si
0.1986 0.3971 0.1327 Si
```

Output
- Total magnetic moment: 0.00 μB per formula unit
- Uncorrected formation energy: -4.5 eV per formula unit
- Crystal system: monoclinic



No. 7
# TiF4

TiF4 after structural relaxation (PBE-GGA, Alexandria).

```
TiF4
1.0
4.9866 0.0912 -0.0330
-0.1270 6.0743 0.1845
-1.7010 -2.1655 4.9592
F Ti
8 2
direct
0.0608 0.6361 0.7803 F
0.8841 0.3135 0.1972 F
0.6189 0.3877 0.8054 F
0.9483 0.7825 0.2459 F
0.5548 0.9186 0.7566 F
0.4422 0.0648 0.2221 F
0.1162 0.1921 0.7967 F
0.3869 0.5089 0.2058 F
0.4978 0.1762 0.9907 Ti
0.0053 0.5249 0.0118 Ti
```

Output
- Total magnetic moment: 0.00 μB per formula unit
- Relative energy among the computed polymorphs: 21 meV per atom
- Uncorrected formation energy: -16.6 eV per formula unit
- Crystal system: triclinic



No. 8
# La2In5Cl12

La2In5Cl12 after structural relaxation (PBE-GGA, Alexandria).

```
La2In5Cl12
1.0
-2.2229 -6.7898 1.8420
7.9698 -4.3143 3.3257
1.2305 -0.4150 9.5659
In Cl La
5 12 2
direct
0.0064 0.2436 0.2436 In
0.5000 0.0000 0.0000 In
0.4916 0.6539 0.6539 In
0.5084 0.3461 0.3461 In
0.9936 0.7564 0.7564 In
0.7388 0.0923 0.7149 Cl
0.7864 0.4832 0.4832 Cl
0.2181 0.1423 0.5202 Cl
0.7819 0.4798 0.8577 Cl
0.2612 0.2851 0.9077 Cl
0.2047 0.9207 0.9207 Cl
0.2181 0.5202 0.1423 Cl
0.7953 0.0793 0.0793 Cl
0.2136 0.5168 0.5168 Cl
0.2612 0.9077 0.2851 Cl
0.7819 0.8577 0.4798 Cl
0.7388 0.7149 0.0923 Cl
0.0000 0.7469 0.2531 La
0.0000 0.2531 0.7469 La
```

Output
- Total magnetic moment: 0.94 μB per formula unit
- Uncorrected formation energy: -28.2 eV per formula unit
- Crystal system: monoclinic